# Zr3MnRh

Zr3MnRh after structural relaxation (PBE, the Alexandria database).

```
data_Zr3MnRh
_chemical_formula_sum 'Zr3 Mn1 Rh1'
_cell_length_a 4.963
_cell_length_b 4.963
_cell_length_c 4.963
_cell_angle_alpha 90.00
_cell_angle_beta 90.00
_cell_angle_gamma 90.00
_space_group_name_H-M_alt 'P m -3 m'
_space_group_IT_number 221
_space_group_name_Hall '-P 4 2 3'
loop_
_atom_site_label
_atom_site_fract_x
_atom_site_fract_y
_atom_site_fract_z
Zr1 0.000 0.000 0.500
Mn1 0.500 0.500 0.500
Rh1 0.000 0.000 0.000
```

Computed properties:
- magnetic moment (μB per formula unit) = 0.6
- formation energy (eV/atom) = 0.8618
- energy relative to the lowest polymorph listed for this composition (meV/atom) = 500.9
- E (eV per cell) = -37.857